{"formula": "Tl3Sb5Pb12", "functional": "PBE", "state": "relaxed", "sg": "Ia-3d (230)", "raw_formation_energy_ev_per_atom": 0.182, "final_energy_ev_per_cell": -274.31, "magmom_total_mub_per_cell": 0.00, "n_ef_per_ev_fu": 8.308, "cell": [[-7.921, 13.138, -3.965], [-8.324, -8.146, 10.743], [14.072, 3.959, 6.115]], "species": ["Pb", "Tl", "Pb", "Sb", "Tl", "Pb", "Sb", "Tl", "Tl", "Pb", "Pb", "Sb", "Pb", "Pb", "Sb", "Tl", "Sb", "Sb", "Pb", "Pb", "Pb", "Pb", "Pb", "Pb", "Sb", "Pb", "Sb", "Sb", "Pb", "Pb", "Pb", "Pb", "Pb", "Pb", "Sb", "Pb", "Pb", "Pb", "Pb", "Sb", "Sb", "Pb", "Pb", "Sb", "Pb", "Pb", "Pb", "Tl", "Sb", "Pb", "Pb", "Pb", "Sb", "Pb", "Pb", "Sb", "Sb", "Pb", "Tl", "Pb", "Tl", "Tl", "Pb", "Sb", "Tl", "Sb", "Pb", "Pb", "Tl", "Pb", "Pb", "Pb", "Pb", "Pb", "Tl", "Pb", "Sb", "Pb", "Pb", "Pb"], "fractional_positions": [[0.405, 0.269, 0.330], [0.250, 0.625, 0.875], [0.865, 0.595, 0.925], [0.250, 0.375, 0.625], [0.375, 0.625, 0.250], [0.135, 0.405, 0.075], [0.250, 0.875, 0.125], [0.625, 0.375, 0.750], [0.875, 0.750, 0.125], [0.061, 0.635, 0.731], [0.769, 0.330, 0.905], [0.000, 0.000, 0.000], [0.405, 0.135, 0.575], [0.439, 0.670, 0.075], [0.000, 0.500, 0.000], [0.125, 0.250, 0.875], [0.375, 0.125, 0.750], [0.375, 0.250, 0.125], [0.635, 0.061, 0.231], [0.439, 0.769, 0.865], [0.595, 0.731, 0.670], [0.135, 0.731, 0.561], [0.670, 0.439, 0.575], [0.670, 0.231, 0.595], [0.125, 0.750, 0.375], [0.170, 0.095, 0.731], [0.500, 0.500, 0.000], [0.500, 0.000, 0.000], [0.561, 0.330, 0.925], [0.330, 0.561, 0.425], [0.061, 0.425, 0.830], [0.905, 0.830, 0.769], [0.769, 0.439, 0.365], [0.561, 0.231, 0.135], [0.750, 0.125, 0.875], [0.575, 0.635, 0.405], [0.095, 0.170, 0.231], [0.269, 0.865, 0.939], [0.330, 0.769, 0.405], [0.000, 0.000, 0.500], [0.875, 0.625, 0.750], [0.905, 0.075, 0.635], [0.170, 0.075, 0.939], [0.625, 0.875, 0.250], [0.830, 0.905, 0.269], [0.939, 0.365, 0.269], [0.830, 0.925, 0.061], [0.625, 0.250, 0.375], [0.750, 0.625, 0.375], [0.231, 0.670, 0.095], [0.075, 0.905, 0.135], [0.865, 0.269, 0.439], [0.125, 0.375, 0.250], [0.269, 0.405, 0.830], [0.095, 0.925, 0.365], [0.000, 0.500, 0.500], [0.875, 0.250, 0.625], [0.635, 0.575, 0.905], [0.750, 0.875, 0.625], [0.425, 0.365, 0.595], [0.750, 0.375, 0.125], [0.250, 0.125, 0.375], [0.575, 0.939, 0.670], [0.500, 0.000, 0.500], [0.375, 0.750, 0.625], [0.500, 0.500, 0.500], [0.231, 0.561, 0.635], [0.595, 0.865, 0.425], [0.125, 0.875, 0.750], [0.939, 0.575, 0.170], [0.075, 0.170, 0.439], [0.925, 0.830, 0.561], [0.925, 0.095, 0.865], [0.365, 0.939, 0.769], [0.875, 0.125, 0.250], [0.731, 0.595, 0.170], [0.625, 0.750, 0.875], [0.365, 0.425, 0.095], [0.731, 0.135, 0.061], [0.425, 0.061, 0.330]]}